Here is a relaxed CaSi2Pb crystal from Alexandria. Energies are from PBE.

Geometry as CIF:
```
data_CaSi2Pb
_cell_length_a 3.259
_cell_length_b 4.731
_cell_length_c 6.252
_cell_angle_alpha 90.00
_cell_angle_beta 90.00
_cell_angle_gamma 90.00
_space_group_name_H-M_alt 'P m m m'
_space_group_IT_number 47
_space_group_name_Hall '-P 2 2'
loop_
_atom_site_label
_atom_site_fract_x
_atom_site_fract_y
_atom_site_fract_z
Ca1 0.000 0.000 0.000
Si1 0.500 0.500 0.189
Pb1 0.500 0.000 0.500
```

Output
V (Å³ per cell): 96.4
ΔE_f (raw) (meV per atom): 46
Uncorrected energy (Ry per atom): -0.301

Here is a relaxed YGaMo3 crystal from Alexandria. Energies are from PBE.

Geometry as CIF:
```
data_YGaMo3
_cell_length_a 4.831
_cell_length_b 4.831
_cell_length_c 4.831
_cell_angle_alpha 90.00
_cell_angle_beta 90.00
_cell_angle_gamma 90.00
_space_group_name_H-M_alt 'P m -3 m'
_space_group_IT_number 221
_space_group_name_Hall '-P 4 2 3'
loop_
_atom_site_label
_atom_site_fract_x
_atom_site_fract_y
_atom_site_fract_z
Y1 0.000 0.000 0.000
Ga1 0.500 0.500 0.500
Mo1 0.000 0.000 0.500
```

Output
V (Å³ per cell): 112.8
Uncorrected energy (Ry per atom): -0.438
Energy above the most stable polymorph in this dataset (meV per atom): 1362.9
Formation energy from the elements (eV/atom): 2.44

Here is a relaxed TaSb2As crystal from Alexandria. Energies are from PBE.

Geometry as CIF:
```
data_TaSb2As
_cell_length_a 6.343
_cell_length_b 7.741
_cell_length_c 3.463
_cell_angle_alpha 90.00
_cell_angle_beta 90.00
_cell_angle_gamma 90.00
_space_group_name_H-M_alt 'C m m m'
_space_group_IT_number 65
_space_group_name_Hall '-C 2 2'
loop_
_atom_site_label
_atom_site_fract_x
_atom_site_fract_y
_atom_site_fract_z
Ta1 0.000 0.000 0.000
Sb1 0.250 0.250 0.500
As1 0.000 0.500 0.000
```

Output
V (Å³ per cell): 170.0
ΔE_f (raw) (meV per atom): 420
Uncorrected energy (Ry per atom): -0.424

Here is a relaxed AlTl2Ni crystal from Alexandria. Energies are from PBE.

Geometry as CIF:
```
data_AlTl2Ni
_cell_length_a 4.597
_cell_length_b 4.597
_cell_length_c 3.927
_cell_angle_alpha 90.00
_cell_angle_beta 90.00
_cell_angle_gamma 90.00
_space_group_name_H-M_alt 'P 4/m m m'
_space_group_IT_number 123
_space_group_name_Hall '-P 4 2'
loop_
_atom_site_label
_atom_site_fract_x
_atom_site_fract_y
_atom_site_fract_z
Al1 0.000 0.000 0.000
Tl1 0.000 0.500 0.500
Ni1 0.500 0.500 0.000
```

Output
V (Å³ per cell): 83.0
Uncorrected energy (Ry per atom): -0.231
Energy above the most stable polymorph in this dataset (meV per atom): 396.5
Formation energy from the elements (eV/atom): 0.42

Here is a relaxed Nd4SmHo15 crystal from Alexandria. Energies are from PBE.

Geometry as CIF:
```
data_Nd4SmHo15
_cell_length_a 5.041
_cell_length_b 5.041
_cell_length_c 25.094
_cell_angle_alpha 90.00
_cell_angle_beta 90.00
_cell_angle_gamma 90.00
_space_group_name_H-M_alt 'P 4/m m m'
_space_group_IT_number 123
_space_group_name_Hall '-P 4 2'
loop_
_atom_site_label
_atom_site_fract_x
_atom_site_fract_y
_atom_site_fract_z
Nd1 0.000 0.000 0.100
Nd2 0.000 0.000 0.300
Sm1 0.000 0.000 0.500
Ho1 0.000 0.500 0.000
Ho2 0.000 0.500 0.200
Ho3 0.000 0.500 0.401
Ho4 0.500 0.500 0.100
Ho5 0.500 0.500 0.300
Ho6 0.500 0.500 0.500
```

Output
V (Å³ per cell): 637.7
Uncorrected energy (Ry per atom): -0.338
Formation energy from the elements (eV/atom): 0.02

Here is a relaxed B2TeP crystal from Alexandria. Energies are from PBE.

Geometry as CIF:
```
data_B2TeP
_cell_length_a 3.023
_cell_length_b 3.406
_cell_length_c 7.225
_cell_angle_alpha 96.24
_cell_angle_beta 92.08
_cell_angle_gamma 110.65
_space_group_name_H-M_alt 'P 1'
_space_group_IT_number 1
_space_group_name_Hall 'P 1'
loop_
_atom_site_label
_atom_site_fract_x
_atom_site_fract_y
_atom_site_fract_z
B1 0.000 0.000 0.000
B2 0.481 0.925 0.105
Te1 0.485 0.905 0.405
P1 0.251 0.517 0.880
```

Output
V (Å³ per cell): 69.0
ΔE_f (raw) (meV per atom): 389
Uncorrected energy (Ry per atom): -0.374
Energy above the most stable polymorph in this dataset (meV per atom): 148.9

Here is a relaxed Pr2NdErTm2 crystal from Alexandria. Energies are from PBE.

Geometry as CIF:
```
data_Pr2NdErTm2
_cell_length_a 5.650
_cell_length_b 10.246
_cell_length_c 6.865
_cell_angle_alpha 90.00
_cell_angle_beta 90.00
_cell_angle_gamma 90.00
_space_group_name_H-M_alt 'P m c 21'
_space_group_IT_number 26
_space_group_name_Hall 'P 2c -2'
loop_
_atom_site_label
_atom_site_fract_x
_atom_site_fract_y
_atom_site_fract_z
Pr1 0.000 0.028 0.000
Pr2 0.500 0.204 0.260
Nd1 0.000 0.306 0.646
Er1 0.500 0.472 0.902
Tm1 0.000 0.377 0.152
Tm2 0.500 0.130 0.752
```

Output
V (Å³ per cell): 397.4
Uncorrected energy (Ry per atom): -0.336
Formation energy from the elements (eV/atom): 0.07

Here is a relaxed Li2MgNi crystal from Alexandria. Energies are from PBE.

Geometry as CIF:
```
data_Li2MgNi
_cell_length_a 4.416
_cell_length_b 4.416
_cell_length_c 6.169
_cell_angle_alpha 90.00
_cell_angle_beta 90.00
_cell_angle_gamma 90.00
_space_group_name_H-M_alt 'I -4 m 2'
_space_group_IT_number 119
_space_group_name_Hall 'I -4 -2'
loop_
_atom_site_label
_atom_site_fract_x
_atom_site_fract_y
_atom_site_fract_z
Li1 0.000 0.000 0.000
Li2 0.000 0.500 0.250
Mg1 0.000 0.000 0.500
Ni1 0.000 0.500 0.750
```

Output
V (Å³ per cell): 120.3
Uncorrected energy (Ry per atom): -0.207
Formation energy from the elements (eV/atom): -0.02

Here is a relaxed PmPr12Ho6 crystal from Alexandria. Energies are from PBE.

Geometry as CIF:
```
data_PmPr12Ho6
_cell_length_a 15.9090
_cell_length_b 15.9090
_cell_length_c 8.9585
_cell_angle_alpha 90.00
_cell_angle_beta 90.00
_cell_angle_gamma 120.00
_space_group_name_H-M_alt 'R -3'
_space_group_IT_number 148
_space_group_name_Hall '-R 3'
loop_
_atom_site_label
_atom_site_fract_x
_atom_site_fract_y
_atom_site_fract_z
Pm1 0.0000 0.0000 0.0000
Pr1 0.0355 0.7565 0.3366
Pr2 0.0706 0.5088 0.6663
Ho1 0.0169 0.8797 0.6647
```

Output
V (Å³ per cell): 1963.6
Uncorrected energy (Ry per atom): -0.345
Energy above the most stable polymorph in this dataset (meV per atom): 0.0
Formation energy from the elements (eV/atom): 0.02

Here is a relaxed Ca2RuPb crystal from Alexandria. Energies are from PBE.

Geometry as CIF:
```
data_Ca2RuPb
_cell_length_a 4.700
_cell_length_b 4.700
_cell_length_c 4.316
_cell_angle_alpha 90.00
_cell_angle_beta 90.00
_cell_angle_gamma 90.00
_space_group_name_H-M_alt 'P 4/m m m'
_space_group_IT_number 123
_space_group_name_Hall '-P 4 2'
loop_
_atom_site_label
_atom_site_fract_x
_atom_site_fract_y
_atom_site_fract_z
Ca1 0.000 0.500 0.000
Ru1 0.000 0.000 0.500
Pb1 0.500 0.500 0.500
```

Output
V (Å³ per cell): 95.3
Uncorrected energy (Ry per atom): -0.308
Formation energy from the elements (eV/atom): 0.06

Here is a relaxed Er2UOs2 crystal from Alexandria. Energies are from PBE.

Geometry as CIF:
```
data_Er2UOs2
_cell_length_a 9.848
_cell_length_b 5.770
_cell_length_c 7.922
_cell_angle_alpha 90.00
_cell_angle_beta 101.32
_cell_angle_gamma 90.00
_space_group_name_H-M_alt 'C 1 2/c 1'
_space_group_IT_number 15
_space_group_name_Hall '-C 2yc'
loop_
_atom_site_label
_atom_site_fract_x
_atom_site_fract_y
_atom_site_fract_z
Er1 0.149 0.138 0.150
U1 0.000 0.354 0.750
Os1 0.132 0.364 0.507
```

Output
V (Å³ per cell): 441.4
Uncorrected energy (Ry per atom): -0.649
Formation energy from the elements (eV/atom): -0.26

Here is a relaxed Pb3OF crystal from Alexandria. Energies are from PBE.

Geometry as CIF:
```
data_Pb3OF
_cell_length_a 5.003
_cell_length_b 5.003
_cell_length_c 5.003
_cell_angle_alpha 90.00
_cell_angle_beta 90.00
_cell_angle_gamma 90.00
_space_group_name_H-M_alt 'P m -3 m'
_space_group_IT_number 221
_space_group_name_Hall '-P 4 2 3'
loop_
_atom_site_label
_atom_site_fract_x
_atom_site_fract_y
_atom_site_fract_z
Pb1 0.000 0.000 0.500
O1 0.000 0.000 0.000
F1 0.500 0.500 0.500
```

Output
V (Å³ per cell): 125.2
ΔE_f (raw) (meV per atom): -572
Uncorrected energy (Ry per atom): -0.306
Energy above the most stable polymorph in this dataset (meV per atom): 0.0

Q: Which formula does entry 3 have?
A: TaSb2As

Q: Look up the V of the eleventh one.
A: 441.4 Å³ per cell

Copy entry 1 word for word.
Here is a relaxed CaSi2Pb crystal from Alexandria. Energies are from PBE.

Geometry as CIF:
```
data_CaSi2Pb
_cell_length_a 3.259
_cell_length_b 4.731
_cell_length_c 6.252
_cell_angle_alpha 90.00
_cell_angle_beta 90.00
_cell_angle_gamma 90.00
_space_group_name_H-M_alt 'P m m m'
_space_group_IT_number 47
_space_group_name_Hall '-P 2 2'
loop_
_atom_site_label
_atom_site_fract_x
_atom_site_fract_y
_atom_site_fract_z
Ca1 0.000 0.000 0.000
Si1 0.500 0.500 0.189
Pb1 0.500 0.000 0.500
```

Output
V (Å³ per cell): 96.4
ΔE_f (raw) (meV per atom): 46
Uncorrected energy (Ry per atom): -0.301